VASP calculation (GGA-PBE) on an optimized crystal structure of LuZrZnNi.

## Properties
Energy relative to the elements ... 0.19 eV/f.u.
Density ... 9.15 g/cm³
Final energy ... -78.842 eV for the cell shown

Lattice parameters (Å, degrees): 6.5680 6.5680 6.5680 90.00 90.00 90.00
Space group F-43m (No. 216)
Unique sites:
Lu  0.0000  0.0000  0.0000 [4 per cell]
Zr  0.2500  0.2500  0.7500 [4 per cell]
Zn  0.2500  0.2500  0.2500 [4 per cell]
Ni  0.0000  0.0000  0.5000 [4 per cell]